(1)
Material: Li2BeFe
Method: DFT, GGA-PBE
State: relaxed

Output
Total magnetic moment in μB per cell: 0.0
DFT formation energy in eV per atom: 0.262
SG: C2/m (12)
Uncorrected energy in eV per atom: -3.743

a = 4.2316 Å, b = 4.9420 Å, c = 2.3240 Å
α = 78.21°, β = 85.87°, γ = 114.28°
Last column: nearest neighbours and their distance in Å.
Positions (direct):
Fe1 0.5000 0.5000 0.0000  2 Fe 2.32, 4 Be 2.34-2.49, 4 Li 2.51
Li1 0.0000 0.0000 0.0000  6 Li 2.32-2.49, 2 Be 2.51, 2 Fe 2.51
Be1 0.0000 0.5000 0.5000  2 Be 2.32, 4 Fe 2.34-2.49, 4 Li 2.51
Li2 0.5000 0.0000 0.5000  6 Li 2.32-2.49, 2 Fe 2.51, 2 Be 2.51


(2)
Material: LiBe2Fe2
Method: DFT, GGA-PBE
State: relaxed

Output
Total magnetic moment in μB per cell: 7.2
DFT formation energy in eV per atom: 0.056
SG: P4/mbm (127)
Uncorrected energy in eV per atom: -5.202

a = 6.7240 Å, b = 6.7240 Å, c = 2.3941 Å
α = 90.00°, β = 90.00°, γ = 90.00°
Last column: nearest neighbours and their distance in Å.
Positions (direct):
Be1 0.1731 0.6731 0.5000  6 Fe 2.29-2.34, 2 Be 2.39
Fe1 0.6217 0.1217 0.0000  6 Be 2.29-2.34, 3 Fe 2.31-2.39
Fe2 0.3783 0.8783 0.0000  6 Be 2.29-2.34, 3 Fe 2.31-2.39
Li1 0.5000 0.5000 0.0000  2 Li 2.39, 4 Fe 2.67
Li2 0.0000 0.0000 0.0000  2 Li 2.39, 4 Fe 2.67
Fe3 0.8783 0.6217 0.0000  6 Be 2.29-2.34, 3 Fe 2.31-2.39
Fe4 0.1217 0.3783 0.0000  6 Be 2.29-2.34, 3 Fe 2.31-2.39
Be2 0.3269 0.1731 0.5000  6 Fe 2.29-2.34, 2 Be 2.39
Be3 0.8269 0.3269 0.5000  6 Fe 2.29-2.34, 2 Be 2.39
Be4 0.6731 0.8269 0.5000  6 Fe 2.29-2.34, 2 Be 2.39


(3)
Material: Li2BeFe
Method: DFT, GGA-PBE
State: relaxed

Output
Total magnetic moment in μB per cell: 2.1
DFT formation energy in eV per atom: 0.122
SG: P4mm (99)
Uncorrected energy in eV per atom: -3.882

a = 2.5534 Å, b = 2.5534 Å, c = 7.7117 Å
α = 90.00°, β = 90.00°, γ = 90.00°
Last column: nearest neighbours and their distance in Å.
Positions (direct):
Be1 0.0000 0.0000 0.5279  4 Fe 2.28
Li1 0.0000 0.0000 0.9736  4 Li 2.55, 4 Fe 2.73
Fe1 0.5000 0.5000 0.7079  4 Be 2.28
Li2 0.5000 0.5000 0.2906  4 Li 2.55, 4 Be 2.57


(4)
Material: Li2BeFe
Method: DFT, GGA-PBE
State: relaxed

Output
Total magnetic moment in μB per cell: 2.0
DFT formation energy in eV per atom: 0.244
SG: R-3m (166)
Uncorrected energy in eV per atom: -3.760

a = 9.0757 Å, b = 9.0757 Å, c = 9.0757 Å
α = 15.58°, β = 15.58°, γ = 15.58°
Last column: nearest neighbours and their distance in Å.
Positions (direct):
Li1 0.0005 0.0005 0.0005  6 Li 2.46, 3 Be 2.64, 3 Fe 2.66
Fe1 0.2500 0.2500 0.2500  6 Fe 2.46, 6 Li 2.66
Li2 0.4995 0.4995 0.4995  6 Li 2.46, 3 Be 2.64, 3 Fe 2.66
Be1 0.7500 0.7500 0.7500  6 Be 2.46, 6 Li 2.64